Entry 1:
## Mg3Mo12Se16 (PBEsol)

Data for Mg3Mo12Se16 after structural relaxation.

Output
The value obtained for the formation energy from raw total energies is -0.657 eV per atom.

Cell and atoms, written as POSCAR:
```
Mg3Mo12Se16
1.0
6.833 -0.258 0.099
-0.632 6.834 0.001
-1.009 -1.026 13.532
Mg Mo Se
3 12 16
Direct
0.966 0.020 0.732
0.028 0.978 0.269
0.496 0.999 0.000
0.567 0.475 0.881
0.226 0.430 0.772
0.446 0.775 0.789
0.530 0.255 0.707
0.748 0.609 0.726
0.410 0.552 0.617
0.584 0.447 0.384
0.246 0.390 0.275
0.464 0.743 0.293
0.548 0.224 0.211
0.768 0.568 0.228
0.427 0.524 0.120
0.270 0.635 0.941
0.334 0.133 0.853
0.779 0.817 0.894
0.855 0.321 0.820
0.122 0.714 0.676
0.199 0.214 0.606
0.617 0.894 0.633
0.716 0.390 0.566
0.278 0.608 0.435
0.377 0.104 0.368
0.795 0.785 0.395
0.871 0.284 0.325
0.138 0.678 0.181
0.214 0.182 0.107
0.660 0.866 0.148
0.723 0.363 0.059
```

=====

Entry 2:
## ScWBr4 (PBEsol)

Data for ScWBr4 after structural relaxation.

Output
The value obtained for the formation energy from raw total energies is 1.214 eV per atom.

Cell and atoms, written as POSCAR:
```
ScWBr4
1.0
5.984 0.000 0.000
2.992 5.182 0.000
2.992 1.727 4.886
Br Sc W
4 1 1
Direct
0.375 0.375 0.375
0.375 0.375 0.875
0.875 0.375 0.375
0.375 0.875 0.375
0.750 0.750 0.750
0.000 0.000 0.000
```

=====

Entry 3:
## Li3Cu (PBEsol)

Data for Li3Cu after structural relaxation.

Output
The calculation puts the total energy at -2.505 eV/atom.

Cell and atoms, written as POSCAR:
```
Li3Cu
1.0
-0.562 -1.289 -2.283
-1.237 -3.905 2.511
-3.402 4.097 0.099
Cu Li
1 3
Direct
0.000 0.003 0.000
0.500 0.473 0.000
0.274 0.619 0.548
0.726 0.071 0.452
```

=====

Entry 4:
## CaZrI2N (PBEsol)

Data for CaZrI2N after structural relaxation.

Output
The value obtained for the formation energy from raw total energies is 0.472 eV per atom.

Cell and atoms, written as POSCAR:
```
CaZrI2N
1.0
-3.518 1.940 -0.742
-2.022 -4.701 -2.696
-2.134 -1.954 5.008
I Ca Zr N
2 1 1 1
Direct
0.000 0.000 0.500
0.000 0.500 0.000
0.000 0.000 0.000
0.500 0.500 0.500
0.500 0.000 0.000
```

=====

Entry 5:
## FeHgAs2 (PBEsol)

Data for FeHgAs2 after structural relaxation.

Output
The calculation puts the total energy at -4.447 eV/atom.

Cell and atoms, written as POSCAR:
```
FeHgAs2
1.0
4.156 0.000 0.000
0.000 4.156 0.000
-2.078 -2.078 3.996
As Fe Hg
2 1 1
Direct
0.750 0.250 0.500
0.250 0.750 0.500
0.500 0.500 0.000
0.000 0.000 0.000
```

=====

Entry 6:
## FeNi (PBEsol)

Data for FeNi after structural relaxation.

Output
The calculation puts the total energy at -7.558 eV/atom.

Cell and atoms, written as POSCAR:
```
FeNi
1.0
-1.231 -1.942 -0.841
0.507 -1.215 2.064
-6.000 2.522 2.957
Ni Fe
2 2
Direct
0.500 0.000 0.622
0.000 0.500 0.378
0.500 0.000 0.132
0.000 0.500 0.868
```

=====

Entry 7:
## Ba2SrTaIn (PBEsol)

Data for Ba2SrTaIn after structural relaxation.

Output
The calculation puts the total energy at -2.914 eV/atom.

Cell and atoms, written as POSCAR:
```
Ba2SrTaIn
1.0
5.155 0.000 0.000
0.000 6.195 0.000
0.000 0.000 6.195
Sr In Ba Ta
1 1 2 1
Direct
0.000 0.000 0.000
0.500 0.500 0.500
0.000 0.000 0.500
0.000 0.500 0.000
0.500 0.000 0.000
```

=====

Entry 8:
## K2YCr (PBEsol)

Data for K2YCr after structural relaxation.

Output
The calculation puts the total energy at -3.875 eV/atom.

Cell and atoms, written as POSCAR:
```
K2YCr
1.0
-3.481 0.392 -0.146
0.013 -4.047 -4.246
-0.728 -4.779 4.553
Cr K Y
1 2 1
Direct
0.500 0.000 0.500
0.263 0.236 0.000
0.737 0.764 0.000
0.000 0.500 0.500
```

=====

Number 1: DOS(E_F) 0.517 states/eV/atom, calculated density 6551 kg/m³, volume 20.34 Å³/atom. Number 2: DOS(E_F) 1.467 states/eV/atom, calculated density 6010 kg/m³, volume 25.25 Å³/atom. Number 3: DOS(E_F) 0.356 states/eV/atom, calculated density 2384 kg/m³, volume 14.69 Å³/atom. Number 4: DOS(E_F) 0.972 states/eV/atom, calculated density 4849 kg/m³, volume 27.34 Å³/atom. Number 5: DOS(E_F) 1.254 states/eV/atom, calculated density 9772 kg/m³, volume 17.26 Å³/atom. Number 6: DOS(E_F) 1.069 states/eV/atom, calculated density 8875 kg/m³, volume 10.72 Å³/atom. Number 7: DOS(E_F) 1.504 states/eV/atom, calculated density 5524 kg/m³, volume 39.56 Å³/atom. Number 8: DOS(E_F) 0.862 states/eV/atom, calculated density 2667 kg/m³, volume 34.10 Å³/atom.